(1)
This record from Alexandria via LeMat-Bulk describes a PBEsol-optimized structure of CaMn4S8. The functional is meta-GGA SCAN.

a b c (Å): 7.6023 7.6023 7.6023
angles (deg): 51.29 51.29 51.29
With the nearest neighbours (Å) after each atom.
Atoms (fractional coordinates):
Ca 0.0000 0.0000 0.0000  6 S 2.77
Mn 0.0000 0.0000 0.5000  6 S 2.31
Mn 0.0000 0.5000 0.0000  6 S 2.31
Mn 0.5000 0.0000 0.0000  6 S 2.31
Mn 0.5000 0.5000 0.5000  6 S 2.29
S 0.2329 0.2329 0.2329  3 Mn 2.31
S 0.2362 0.7308 0.7308  3 Mn 2.29-2.31
S 0.2692 0.2692 0.7638  3 Mn 2.29-2.31
S 0.2692 0.7638 0.2692  3 Mn 2.29-2.31
S 0.7308 0.2362 0.7308  3 Mn 2.29-2.31
S 0.7308 0.7308 0.2362  3 Mn 2.29-2.31
S 0.7638 0.2692 0.2692  3 Mn 2.29-2.31
S 0.7671 0.7671 0.7671  3 Mn 2.31

- crystal system = trigonal
- uncorrected formation energy (meV/atom) = -1052
- volume (Å³ per cell) = 247
- M_tot (μB/cell) = 9.99


(2)
This record from Alexandria via LeMat-Bulk describes a PBEsol-optimized structure of CaMnSb2. The functional is meta-GGA SCAN.

a b c (Å): 7.1525 7.1525 7.1525
angles (deg): 33.08 33.08 33.08
With the nearest neighbours (Å) after each atom.
Atoms (fractional coordinates):
Ca 0.0000 0.0000 0.0000  6 Sb 3.14
Mn 0.5000 0.5000 0.5000  6 Sb 2.69
Sb 0.2308 0.2308 0.2308  3 Mn 2.69
Sb 0.7692 0.7692 0.7692  3 Mn 2.69

- crystal system = trigonal
- uncorrected formation energy (meV/atom) = -544
- volume (Å³ per cell) = 97
- M_tot (μB/cell) = 3.09